## Mo2BrO2 (GGA+U)

Data for crystalline Mo2BrO2 at its relaxed geometry.

a b c (Å): 4.001 4.001 11.588
angles (deg): 90.00 90.00 90.00
Space group I4/mmm (No. 139)
One atom of each set of equivalent atoms:
Mo: 0.000 0.000 0.176
Br: 0.000 0.000 0.500
O: 0.000 0.500 0.250

Computed properties:
Its relative energy among the computed polymorphs is 0.000 eV per atom. The value obtained for the density of states at the Fermi level is 3.489 states/eV per cell.